No. 1
First-principles (PBE) data for a geometry-optimized MgBe2Pb structure, as listed in Alexandria.

Output
**DFT total energy**: -2.52 eV/atom
**Polymorph energy (0 for the lowest one)**: 1.54 eV per formula unit
**Mass density**: 5.80 g/cm3
**Calculated formation energy**: 2.68 eV/f.u.

Lattice parameters (Å, degrees): 4.6578 4.6578 4.6578 60.00 60.00 60.00
Last column: nearest neighbours and their distance in Å.
Element x y z (fractional)
Pb 0.5000 0.5000 0.5000  8 Be 2.85
Be 0.2500 0.2500 0.2500  4 Pb 2.85, 4 Mg 2.85
Be 0.7500 0.7500 0.7500  4 Pb 2.85, 4 Mg 2.85
Mg 0.0000 0.0000 0.0000  8 Be 2.85

---

No. 2
First-principles (PBE) data for a geometry-optimized MgBePb2 structure, as listed in Alexandria.

Output
**DFT total energy**: -2.76 eV/atom
**Polymorph energy (0 for the lowest one)**: 0.41 eV per formula unit
**Mass density**: 7.89 g/cm3
**Calculated formation energy**: 1.68 eV/f.u.

Lattice parameters (Å, degrees): 5.1073 5.1073 5.1073 60.00 60.00 60.00
Last column: nearest neighbours and their distance in Å.
Element x y z (fractional)
Pb 0.2500 0.2500 0.2500  4 Be 3.13, 4 Mg 3.13
Pb 0.7500 0.7500 0.7500  4 Mg 3.13, 4 Be 3.13
Be 0.0000 0.0000 0.0000  8 Pb 3.13
Mg 0.5000 0.5000 0.5000  8 Pb 3.13

---

No. 3
First-principles (PBE) data for a geometry-optimized MgBePb2 structure, as listed in Alexandria.

Output
**DFT total energy**: -2.82 eV/atom
**Polymorph energy (0 for the lowest one)**: 0.20 eV per formula unit
**Mass density**: 7.85 g/cm3
**Calculated formation energy**: 1.47 eV/f.u.

Lattice parameters (Å, degrees): 3.4152 3.4141 8.1244 90.00 90.00 90.00
Last column: nearest neighbours and their distance in Å.
Element x y z (fractional)
Pb 0.0000 0.0000 0.0337  4 Be 2.99, 4 Mg 3.34
Pb 0.0000 0.0000 0.4663  4 Be 2.99, 4 Mg 3.34
Be 0.5000 0.5000 0.2500  8 Pb 2.99
Mg 0.5000 0.5000 0.7500  8 Pb 3.34, 4 Mg 3.41-3.42

---

No. 4
First-principles (PBE) data for a geometry-optimized MgBe4Pb structure, as listed in Alexandria.

Output
**DFT total energy**: -2.93 eV/atom
**Mass density**: 5.32 g/cm3
**Calculated formation energy**: 2.62 eV/f.u.

Lattice parameters (Å, degrees): 4.9052 4.9052 4.9052 60.00 60.00 60.00
Last column: nearest neighbours and their distance in Å.
Element x y z (fractional)
Mg 0.7500 0.7500 0.7500  12 Be 2.87, 4 Pb 3.00
Be 0.8587 0.3804 0.3804  6 Be 2.35-2.56
Be 0.3804 0.3804 0.8587  6 Be 2.35-2.56
Be 0.3804 0.8587 0.3804  6 Be 2.35-2.56
Be 0.3804 0.3804 0.3804  6 Be 2.35-2.56
Pb 0.0000 0.0000 0.0000  12 Be 2.89, 4 Mg 3.00

---

No. 5
First-principles (PBE) data for a geometry-optimized MgBe2Pb structure, as listed in Alexandria.

Output
**DFT total energy**: -2.70 eV/atom
**Polymorph energy (0 for the lowest one)**: 0.83 eV per formula unit
**Mass density**: 5.46 g/cm3
**Calculated formation energy**: 1.97 eV/f.u.

Lattice parameters (Å, degrees): 5.8730 5.8730 5.8730 142.43 141.76 54.69
Last column: nearest neighbours and their distance in Å.
Element x y z (fractional)
Pb 0.2434 0.7434 0.5000  6 Be 2.69-2.85
Be 0.9238 0.9238 0.0000  2 Be 2.13
Be 0.8308 0.3308 0.5000  2 Be 2.13
Mg 0.5022 0.5022 0.0000  6 Be 2.63-2.82

---

No. 6
First-principles (PBE) data for a geometry-optimized MgBe2Pb structure, as listed in Alexandria.

Output
**DFT total energy**: -2.60 eV/atom
**Polymorph energy (0 for the lowest one)**: 1.21 eV per formula unit
**Mass density**: 6.10 g/cm3
**Calculated formation energy**: 2.36 eV/f.u.

Lattice parameters (Å, degrees): 4.1801 4.1780 3.8874 90.00 90.00 90.00
Last column: nearest neighbours and their distance in Å.
Element x y z (fractional)
Pb 0.0000 0.5000 0.5000  8 Be 2.85, 4 Mg 2.96
Be 0.0000 0.0000 0.0000  4 Pb 2.85, 4 Mg 2.85, 4 Be 2.96
Be 0.5000 0.5000 0.0000  4 Mg 2.85, 4 Pb 2.85, 4 Be 2.96
Mg 0.5000 0.0000 0.5000  8 Be 2.85, 4 Pb 2.96

---

No. 7
First-principles (PBE) data for a geometry-optimized MgBePb2 structure, as listed in Alexandria.

Output
**DFT total energy**: -2.84 eV/atom
**Polymorph energy (0 for the lowest one)**: 0.11 eV per formula unit
**Mass density**: 7.72 g/cm3
**Calculated formation energy**: 1.38 eV/f.u.

Lattice parameters (Å, degrees): 7.0253 7.0253 7.0253 151.64 144.07 46.39
Last column: nearest neighbours and their distance in Å.
Element x y z (fractional)
Pb 0.9851 0.9851 0.0000  4 Be 2.79, 2 Mg 3.08
Pb 0.6887 0.1887 0.5000  2 Be 2.87, 4 Mg 3.22
Be 0.5105 0.5105 0.0000  6 Pb 2.79-2.87, 2 Mg 3.04
Mg 0.3160 0.8160 0.5000  2 Be 3.04, 6 Pb 3.08-3.22

---

No. 8
First-principles (PBE) data for a geometry-optimized Mg4BePb structure, as listed in Alexandria.

Output
**DFT total energy**: -1.91 eV/atom
**Mass density**: 3.83 g/cm3
**Calculated formation energy**: 2.35 eV/f.u.

Lattice parameters (Å, degrees): 5.7731 5.7731 5.7731 60.00 60.00 60.00
Last column: nearest neighbours and their distance in Å.
Element x y z (fractional)
Mg 0.8770 0.3743 0.3743  6 Mg 2.87-2.90
Mg 0.3743 0.3743 0.8770  6 Mg 2.87-2.90
Mg 0.3743 0.8770 0.3743  6 Mg 2.87-2.90
Mg 0.3743 0.3743 0.3743  6 Mg 2.87-2.90
Be 0.0000 0.0000 0.0000  12 Mg 3.38, 4 Pb 3.54
Pb 0.7500 0.7500 0.7500  12 Mg 3.39, 4 Be 3.54

---

No. 9
First-principles (PBE) data for a geometry-optimized MgBePb structure, as listed in Alexandria.

Output
**DFT total energy**: -2.60 eV/atom
**Mass density**: 6.25 g/cm3
**Calculated formation energy**: 1.23 eV/f.u.

Lattice parameters (Å, degrees): 3.4291 3.4291 6.2740 90.00 90.00 120.00
Last column: nearest neighbours and their distance in Å.
Element x y z (fractional)
Pb 0.6667 0.3333 0.7073  3 Be 2.71
Be 0.0000 0.0000 0.0022  3 Mg 2.68, 3 Pb 2.71
Mg 0.3333 0.6667 0.2905  3 Be 2.68

---

No. 10
First-principles (PBE) data for a geometry-optimized MgBePb2 structure, as listed in Alexandria.

Output
**DFT total energy**: -2.77 eV/atom
**Polymorph energy (0 for the lowest one)**: 0.38 eV per formula unit
**Mass density**: 7.88 g/cm3
**Calculated formation energy**: 1.66 eV/f.u.

Lattice parameters (Å, degrees): 5.3465 5.3465 5.3465 127.05 127.05 78.18
Last column: nearest neighbours and their distance in Å.
Element x y z (fractional)
Pb 0.0000 0.0000 0.0000  4 Be 3.16, 4 Mg 3.16, 4 Pb 3.37
Pb 0.5000 0.5000 0.0000  4 Mg 3.16, 4 Be 3.16, 4 Pb 3.37
Be 0.2500 0.7500 0.5000  8 Pb 3.16, 4 Mg 3.37
Mg 0.7500 0.2500 0.5000  8 Pb 3.16, 4 Be 3.37

---

Which value of DFT total energy does entry 6 give? -2.60 eV/atom

---

Copy entry 7 word for word.
First-principles (PBE) data for a geometry-optimized MgBePb2 structure, as listed in Alexandria.

Output
**DFT total energy**: -2.84 eV/atom
**Polymorph energy (0 for the lowest one)**: 0.11 eV per formula unit
**Mass density**: 7.72 g/cm3
**Calculated formation energy**: 1.38 eV/f.u.

Lattice parameters (Å, degrees): 7.0253 7.0253 7.0253 151.64 144.07 46.39
Last column: nearest neighbours and their distance in Å.
Element x y z (fractional)
Pb 0.9851 0.9851 0.0000  4 Be 2.79, 2 Mg 3.08
Pb 0.6887 0.1887 0.5000  2 Be 2.87, 4 Mg 3.22
Be 0.5105 0.5105 0.0000  6 Pb 2.79-2.87, 2 Mg 3.04
Mg 0.3160 0.8160 0.5000  2 Be 3.04, 6 Pb 3.08-3.22